Material: TcTe2IO
Method: DFT, meta-GGA SCAN
State: single point on PBEsol structure

Calculated values
- D(E_F) (states/eV/f.u.) = 1.55
- E_form (uncorrected) (eV per atom) = 0.653
- calculated total energy (eV per atom) = -29.8541
- mass density (g/cm³) = 6.83

a b c (Å): 4.4006 4.4006 6.2258
angles (deg): 90.00 90.00 90.00
Space group P4/mmm (No. 123)
Unique sites:
Tc: 0.0000 0.0000 0.0000 [1 per cell]
Te: 0.0000 0.5000 0.5000 [2 per cell]
I: 0.5000 0.5000 0.0000 [1 per cell]
O: 0.5000 0.5000 0.5000 [1 per cell]

Material: ZrTcIO2
Method: DFT, meta-GGA SCAN
State: single point on PBEsol structure

Calculated values
- D(E_F) (states/eV/f.u.) = 2.26
- E_form (uncorrected) (eV per atom) = -1.053
- calculated total energy (eV per atom) = -24.0452
- mass density (g/cm³) = 5.91

a b c (Å): 4.0187 4.0187 6.0615
angles (deg): 90.00 90.00 90.00
Space group P4/mmm (No. 123)
Unique sites:
Zr: 0.0000 0.0000 0.0000 [1 per cell]
Tc: 0.5000 0.5000 0.5000 [1 per cell]
I: 0.0000 0.0000 0.5000 [1 per cell]
O: 0.0000 0.5000 0.0000 [2 per cell]

Material: TeI2O
Method: DFT, meta-GGA SCAN
State: single point on PBEsol structure

Calculated values
- D(E_F) (states/eV/f.u.) = 2.36
- E_form (uncorrected) (eV per atom) = 0.474
- calculated total energy (eV per atom) = -28.7676
- mass density (g/cm³) = 4.87

a b c (Å): 7.1926 7.1926 10.4668
angles (deg): 90.00 90.00 90.00
Space group I4_1/amd (No. 141, origin choice 2)
Unique sites:
Te: 0.0000 0.2500 0.3750 [4 per cell]
I: 0.0000 0.0000 0.0000 [8 per cell]
O: 0.0000 0.2500 0.8750 [4 per cell]

Material: TeI2O2
Method: DFT, meta-GGA SCAN
State: single point on PBEsol structure

Calculated values
- D(E_F) (states/eV/f.u.) = 4.35
- energy above the most stable polymorph in this dataset (eV/atom) = 0.000
- E_form (uncorrected) (eV per atom) = 0.363
- calculated total energy (eV per atom) = -24.2760
- mass density (g/cm³) = 4.97

a b c (Å): 5.8788 5.8788 3.9948
angles (deg): 90.00 90.00 90.00
Space group P4/mmm (No. 123)
Unique sites:
Te: 0.0000 0.0000 0.0000 [1 per cell]
I: 0.0000 0.5000 0.0000 [2 per cell]
O: 0.0000 0.0000 0.5000 [1 per cell]
O: 0.5000 0.5000 0.5000 [1 per cell]

Material: TeI2O2
Method: DFT, meta-GGA SCAN
State: single point on PBEsol structure

Calculated values
- D(E_F) (states/eV/f.u.) = 2.79
- energy above the most stable polymorph in this dataset (eV/atom) = 0.498
- E_form (uncorrected) (eV per atom) = 0.862
- calculated total energy (eV per atom) = -23.7778
- mass density (g/cm³) = 6.99

a b c (Å): 4.9012 4.9012 4.0872
angles (deg): 90.00 90.00 90.00
Space group P4/mmm (No. 123)
Unique sites:
Te: 0.0000 0.0000 0.0000 [1 per cell]
I: 0.0000 0.5000 0.5000 [2 per cell]
O: 0.5000 0.5000 0.0000 [1 per cell]
O: 0.5000 0.5000 0.5000 [1 per cell]

Material: TiTeI2O
Method: DFT, meta-GGA SCAN
State: single point on PBEsol structure

Calculated values
- D(E_F) (states/eV/f.u.) = 3.07
- E_form (uncorrected) (eV per atom) = 0.130
- calculated total energy (eV per atom) = -26.4693
- mass density (g/cm³) = 5.13

a b c (Å): 6.0049 6.0049 3.9941
angles (deg): 90.00 90.00 90.00
Space group P4/mmm (No. 123)
Unique sites:
Ti: 0.0000 0.0000 0.0000 [1 per cell]
Te: 0.5000 0.5000 0.5000 [1 per cell]
I: 0.0000 0.5000 0.5000 [2 per cell]
O: 0.5000 0.5000 0.0000 [1 per cell]

Material: Ti4Te9I4O
Method: DFT, meta-GGA SCAN
State: single point on PBEsol structure

Calculated values
- E_form (uncorrected) (eV per atom) = -0.834
- calculated total energy (eV per atom) = -31.5332
- mass density (g/cm³) = 5.70

a b c (Å): 22.2523 6.1801 19.0314
angles (deg): 90.00 123.92 90.00
Space group C2/c (No. 15)
Unique sites:
Ti: 0.0673 0.0711 0.3652 [8 per cell]
Ti: 0.0746 0.3413 0.2322 [8 per cell]
Te: 0.0000 0.2943 0.7500 [4 per cell]
Te: 0.0345 0.3906 0.4402 [8 per cell]
Te: 0.0498 0.0221 0.1180 [8 per cell]
Te: 0.1689 0.3916 0.4077 [8 per cell]
Te: 0.1737 0.0217 0.3305 [8 per cell]
I: 0.1501 0.1682 0.0093 [8 per cell]
I: 0.1655 0.4159 0.7109 [8 per cell]
O: 0.0000 0.2082 0.2500 [4 per cell]

Material: Tl2TeIO
Method: DFT, meta-GGA SCAN
State: single point on PBEsol structure

Calculated values
- D(E_F) (states/eV/f.u.) = 5.77
- E_form (uncorrected) (eV per atom) = 0.484
- calculated total energy (eV per atom) = -44.5039
- mass density (g/cm³) = 4.55

a b c (Å): 6.4965 6.4965 5.8723
angles (deg): 90.00 90.00 90.00
Space group P4/mmm (No. 123)
Unique sites:
Tl: 0.0000 0.5000 0.0000 [2 per cell]
Te: 0.0000 0.0000 0.0000 [1 per cell]
I: 0.0000 0.0000 0.5000 [1 per cell]
O: 0.5000 0.5000 0.5000 [1 per cell]

Material: YTe2IO
Method: DFT, meta-GGA SCAN
State: single point on PBEsol structure

Calculated values
- D(E_F) (states/eV/f.u.) = 1.73
- E_form (uncorrected) (eV per atom) = -0.552
- calculated total energy (eV per atom) = -29.6153
- mass density (g/cm³) = 6.71

a b c (Å): 4.5139 4.5139 5.9119
angles (deg): 90.00 90.00 90.00
Space group P4/mmm (No. 123)
Unique sites:
Y: 0.0000 0.0000 0.0000 [1 per cell]
Te: 0.0000 0.5000 0.5000 [2 per cell]
I: 0.5000 0.5000 0.0000 [1 per cell]
O: 0.5000 0.5000 0.5000 [1 per cell]

Material: YTeI2O
Method: DFT, meta-GGA SCAN
State: single point on PBEsol structure

Calculated values
- D(E_F) (states/eV/f.u.) = 3.42
- E_form (uncorrected) (eV per atom) = -1.076
- calculated total energy (eV per atom) = -30.0379
- mass density (g/cm³) = 5.35

a b c (Å): 6.0852 6.0852 4.0745
angles (deg): 90.00 90.00 90.00
Space group P4/mmm (No. 123)
Unique sites:
Y: 0.0000 0.0000 0.0000 [1 per cell]
Te: 0.5000 0.5000 0.5000 [1 per cell]
I: 0.0000 0.5000 0.0000 [2 per cell]
O: 0.0000 0.0000 0.5000 [1 per cell]

Material: TiTlIO2
Method: DFT, meta-GGA SCAN
State: single point on PBEsol structure

Calculated values
- D(E_F) (states/eV/f.u.) = 0.89
- E_form (uncorrected) (eV per atom) = -1.296
- calculated total energy (eV per atom) = -28.8145
- mass density (g/cm³) = 7.39

a b c (Å): 4.0882 4.0882 5.5290
angles (deg): 90.00 90.00 90.00
Space group P4/mmm (No. 123)
Unique sites:
Ti: 0.0000 0.0000 0.0000 [1 per cell]
Tl: 0.5000 0.5000 0.5000 [1 per cell]
I: 0.0000 0.0000 0.5000 [1 per cell]
O: 0.0000 0.5000 0.0000 [2 per cell]

Material: TlI2O2
Method: DFT, meta-GGA SCAN
State: single point on PBEsol structure

Calculated values
- D(E_F) (states/eV/f.u.) = 2.75
- E_form (uncorrected) (eV per atom) = 0.304
- calculated total energy (eV per atom) = -31.3569
- mass density (g/cm³) = 6.55

a b c (Å): 4.3046 4.3046 6.7076
angles (deg): 90.00 90.00 90.00
Space group P4/mmm (No. 123)
Unique sites:
Tl: 0.0000 0.0000 0.0000 [1 per cell]
I: 0.0000 0.0000 0.5000 [1 per cell]
I: 0.5000 0.5000 0.5000 [1 per cell]
O: 0.0000 0.5000 0.0000 [2 per cell]

Material: TlV2I3O13
Method: DFT, meta-GGA SCAN
State: single point on PBEsol structure

Calculated values
- E_form (uncorrected) (eV per atom) = -1.188
- calculated total energy (eV per atom) = -16.9017
- mass density (g/cm³) = 5.43

a b c (Å): 13.7951 10.1879 7.7965
angles (deg): 90.00 90.00 90.00
Space group Ima2 (No. 46)
Unique sites:
Tl: 0.2500 0.1084 0.0000 [4 per cell]
V: 0.1285 0.0178 0.4622 [8 per cell]
I: 0.0079 0.2479 0.7260 [8 per cell]
I: 0.2500 0.7330 0.2127 [4 per cell]
O: 0.0000 0.0000 0.5133 [4 per cell]
O: 0.0278 0.1603 0.9258 [8 per cell]
O: 0.0990 0.6508 0.7858 [8 per cell]
O: 0.1004 0.1167 0.2598 [8 per cell]
O: 0.1492 0.6235 0.1313 [8 per cell]
O: 0.1518 0.1397 0.5929 [8 per cell]
O: 0.2500 0.5159 0.8788 [4 per cell]
O: 0.2500 0.6605 0.4269 [4 per cell]

Material: Tl2WIO
Method: DFT, meta-GGA SCAN
State: single point on PBEsol structure

Calculated values
- D(E_F) (states/eV/f.u.) = 3.64
- E_form (uncorrected) (eV per atom) = 1.840
- calculated total energy (eV per atom) = -49.6351
- mass density (g/cm³) = 6.06

a b c (Å): 6.3419 6.3419 5.0087
angles (deg): 90.00 90.00 90.00
Space group P4/mmm (No. 123)
Unique sites:
Tl: 0.0000 0.5000 0.0000 [2 per cell]
W: 0.0000 0.0000 0.5000 [1 per cell]
I: 0.0000 0.0000 0.0000 [1 per cell]
O: 0.5000 0.5000 0.5000 [1 per cell]

Material: TmI3O9
Method: DFT, meta-GGA SCAN
State: single point on PBEsol structure

Calculated values
- D(E_F) (states/eV/f.u.) = 0.00
- E_form (uncorrected) (eV per atom) = -1.118
- calculated total energy (eV per atom) = -17.8978
- mass density (g/cm³) = 6.19

a b c (Å): 6.9917 8.2552 13.1022
angles (deg): 90.00 100.21 90.00
Space group P2_1/c (No. 14)
Unique sites:
Tm: 0.1735 0.2402 0.1458 [4 per cell]
I: 0.1671 0.7119 0.1136 [4 per cell]
I: 0.2695 0.0167 0.8869 [4 per cell]
I: 0.3344 0.5399 0.8604 [4 per cell]
O: 0.0111 0.5205 0.3829 [4 per cell]
O: 0.0349 0.1704 0.4908 [4 per cell]
O: 0.1496 0.6996 0.8243 [4 per cell]
O: 0.1546 0.5222 0.1849 [4 per cell]
O: 0.2313 0.2175 0.8238 [4 per cell]
O: 0.3204 0.0678 0.0240 [4 per cell]
O: 0.3496 0.0281 0.2291 [4 per cell]
O: 0.3696 0.6629 0.0473 [4 per cell]
O: 0.4627 0.1769 0.6305 [4 per cell]

Material: VZn2IO7
Method: DFT, meta-GGA SCAN
State: single point on PBEsol structure

Calculated values
- D(E_F) (states/eV/f.u.) = 0.00
- E_form (uncorrected) (eV per atom) = -1.549
- calculated total energy (eV per atom) = -12.9020
- mass density (g/cm³) = 4.94

a b c (Å): 5.2589 10.0033 5.4808
angles (deg): 90.00 101.36 90.00
Space group Pc (No. 7)
Unique sites:
V: 0.0000 0.1426 0.0000 [2 per cell]
Zn: 0.1382 0.3649 0.5297 [2 per cell]
Zn: 0.5008 0.0627 0.4792 [2 per cell]
I: 0.5637 0.3724 0.2054 [2 per cell]
O: 0.1248 0.2491 0.8200 [2 per cell]
O: 0.2419 0.0341 0.1365 [2 per cell]
O: 0.2976 0.4856 0.2665 [2 per cell]
O: 0.4536 0.2575 0.4352 [2 per cell]
O: 0.7282 0.0619 0.8309 [2 per cell]
O: 0.7969 0.4627 0.4435 [2 per cell]
O: 0.9005 0.2366 0.2360 [2 per cell]

Material: W3IO
Method: DFT, meta-GGA SCAN
State: single point on PBEsol structure

Calculated values
- D(E_F) (states/eV/f.u.) = 2.88
- E_form (uncorrected) (eV per atom) = 3.708
- calculated total energy (eV per atom) = -46.6995
- mass density (g/cm³) = 10.24

a b c (Å): 4.8293 4.8293 4.8293
angles (deg): 90.00 90.00 90.00
Space group Pm-3m (No. 221)
Unique sites:
W: 0.0000 0.0000 0.5000 [3 per cell]
I: 0.0000 0.0000 0.0000 [1 per cell]
O: 0.5000 0.5000 0.5000 [1 per cell]

Material: YI3O9
Method: DFT, meta-GGA SCAN
State: single point on PBEsol structure

Calculated values
- D(E_F) (states/eV/f.u.) = 0.00
- E_form (uncorrected) (eV per atom) = -1.057
- calculated total energy (eV per atom) = -15.9912
- mass density (g/cm³) = 4.65

a b c (Å): 8.4936 5.6760 18.1828
angles (deg): 90.00 92.53 90.00
Space group P2_1/c (No. 14)
Unique sites:
Y: 0.0513 0.2295 0.4227 [4 per cell]
I: 0.1958 0.1881 0.1240 [4 per cell]
I: 0.3420 0.6534 0.9769 [4 per cell]
I: 0.4168 0.1166 0.8333 [4 per cell]
O: 0.0533 0.0800 0.6412 [4 per cell]
O: 0.0990 0.5637 0.6645 [4 per cell]
O: 0.1319 0.0898 0.0306 [4 per cell]
O: 0.1356 0.6016 0.0033 [4 per cell]
O: 0.2433 0.9998 0.8798 [4 per cell]
O: 0.2955 0.0447 0.3985 [4 per cell]
O: 0.4055 0.0822 0.5456 [4 per cell]
O: 0.4329 0.5903 0.5905 [4 per cell]
O: 0.4744 0.6460 0.2849 [4 per cell]

| no. | total moment (μB/cell) |
| --- | --- |
| 1 | 5.004 |
| 2 | 3.908 |
| 3 | 8.862 |
| 4 | 2.114 |
| 5 | 0.360 |
| 6 | 2.818 |
| 7 | 0.000 |
| 8 | 1.474 |
| 9 | 0.000 |
| 10 | 0.557 |
| 11 | 0.000 |
| 12 | 0.896 |
| 13 | 0.000 |
| 14 | 5.318 |
| 15 | 0.000 |
| 16 | 0.000 |
| 17 | 1.599 |
| 18 | 0.000 |